(1)
Here is a geometry-optimized Er4CdHg2Au structure from Alexandria via LeMat-Bulk. Energies are from PBE-GGA.

Results
Formation energy, eV per atom: -0.549
Space-group type: No. 166
Total moment, μB per atom: 0.000

Lattice parameters (Å, degrees): 8.965 8.965 8.965 33.57 33.57 33.57
Element x y z (fractional)
Er 0.120 0.120 0.120
Er 0.371 0.371 0.371
Er 0.629 0.629 0.629
Er 0.880 0.880 0.880
Cd 0.500 0.500 0.500
Hg 0.244 0.244 0.244
Hg 0.756 0.756 0.756
Au 0.000 0.000 0.000

=====

(2)
Here is a geometry-optimized LiTb4S5 structure from Alexandria via LeMat-Bulk. Energies are from PBE-GGA.

Results
Formation energy without anion corrections, eV/atom: -1.96
Space-group type: No. 79
Total moment, μB per atom: 0.000
ΔE to the lowest computed polymorph, meV/atom: 0.0

Lattice parameters (Å, degrees): 6.761 6.761 6.761 99.56 99.56 131.90
Element x y z (fractional)
Li 0.000 0.000 0.000
Tb 0.203 0.401 0.600
Tb 0.401 0.801 0.198
Tb 0.603 0.203 0.802
Tb 0.801 0.603 0.400
S 0.098 0.709 0.803
S 0.295 0.098 0.389
S 0.503 0.503 0.000
S 0.709 0.906 0.611
S 0.906 0.295 0.197

=====

(3)
Here is a geometry-optimized HoZr4 structure from Alexandria via LeMat-Bulk. Energies are from PBE-GGA.

Results
Formation energy, eV per atom: 1.257
Space-group type: No. 221
Total moment, μB per atom: 0.000

Lattice parameters (Å, degrees): 5.145 5.145 5.145 90.00 90.00 90.00
Element x y z (fractional)
Ho 0.000 0.000 0.000
Zr 0.000 0.000 0.500
Zr 0.000 0.500 0.000
Zr 0.500 0.000 0.000
Zr 0.500 0.500 0.500

=====

(4)
Here is a geometry-optimized KBa2S structure from Alexandria via LeMat-Bulk. Energies are from PBE-GGA.

Results
Formation energy without anion corrections, eV/atom: -0.91
Space-group type: No. 166
Total moment, μB per atom: 0.000

Lattice parameters (Å, degrees): 4.432 4.432 37.128 90.00 90.00 120.00
Element x y z (fractional)
K 0.000 0.000 0.000
K 0.333 0.667 0.667
K 0.667 0.333 0.333
Ba 0.000 0.000 0.117
Ba 0.000 0.000 0.883
Ba 0.333 0.667 0.549
Ba 0.333 0.667 0.784
Ba 0.667 0.333 0.216
Ba 0.667 0.333 0.451
S 0.000 0.000 0.500
S 0.333 0.667 0.167
S 0.667 0.333 0.833